No. 1
PmGa5PdPt2 | PBE-GGA | optimized geometry

POSCAR file:
```
PmGa5PdPt2
1.0
4.321 0.000 0.000
0.000 4.321 0.000
0.000 0.000 10.119
Pm Ga Pd Pt
1 5 1 2
direct
0.000 0.000 0.000
0.000 0.500 0.355
0.000 0.500 0.645
0.500 0.000 0.355
0.500 0.000 0.645
0.500 0.500 0.000
0.000 0.000 0.500
0.500 0.500 0.231
0.500 0.500 0.769
```

Properties
Formation energy from the elements = -495 meV/atom
Volume = 188.97 Å³ per cell
M_tot = 0.000 μB per atom

=====

No. 2
PmGa2PdPt2 | PBE-GGA | optimized geometry

POSCAR file:
```
PmGa2PdPt2
1.0
4.381 0.000 0.000
-2.191 3.794 0.000
0.000 0.000 6.644
Pm Ga Pd Pt
1 2 1 2
direct
0.000 0.000 0.000
0.333 0.667 0.319
0.667 0.333 0.681
0.000 0.000 0.500
0.333 0.667 0.720
0.667 0.333 0.280
```

Properties
Formation energy from the elements = -926 meV/atom
Volume = 110.45 Å³ per cell
M_tot = 0.000 μB per atom

=====

No. 3
PmGa4PdPt2 | PBE-GGA | optimized geometry

POSCAR file:
```
PmGa4PdPt2
1.0
2.158 1.246 8.811
-2.158 1.246 8.811
0.000 -2.492 8.811
Pm Ga Pd Pt
1 4 1 2
direct
0.000 0.000 0.000
0.132 0.132 0.132
0.399 0.399 0.399
0.601 0.601 0.601
0.868 0.868 0.868
0.500 0.500 0.500
0.240 0.240 0.240
0.760 0.760 0.760
```

Properties
Formation energy from the elements = -714 meV/atom
Volume = 142.14 Å³ per cell
M_tot = 0.000 μB per atom

=====

No. 4
Pm2GaPd2Pt5 | PBE-GGA | optimized geometry

POSCAR file:
```
Pm2GaPd2Pt5
1.0
9.520 0.000 0.000
0.000 9.520 0.000
0.000 0.000 4.098
Pm Ga Pd Pt
4 2 4 10
direct
0.171 0.329 0.000
0.329 0.829 0.000
0.671 0.171 0.000
0.829 0.671 0.000
0.000 0.000 0.000
0.500 0.500 0.000
0.129 0.629 0.000
0.371 0.129 0.000
0.629 0.871 0.000
0.871 0.371 0.000
0.000 0.500 0.500
0.056 0.800 0.500
0.200 0.056 0.500
0.300 0.556 0.500
0.444 0.300 0.500
0.500 0.000 0.500
0.556 0.700 0.500
0.700 0.444 0.500
0.800 0.944 0.500
0.944 0.200 0.500
```

Properties
Formation energy from the elements = -763 meV/atom
Volume = 371.47 Å³ per cell
M_tot = 0.000 μB per atom

=====

No. 5
PmPuGa2Pd2 | PBE-GGA | optimized geometry

POSCAR file:
```
PmPuGa2Pd2
1.0
4.534 0.000 0.000
-2.267 3.926 0.000
0.000 0.000 7.008
Pm Pu Ga Pd
1 1 2 2
direct
0.000 0.000 0.000
0.000 0.000 0.500
0.333 0.667 0.258
0.667 0.333 0.742
0.333 0.667 0.742
0.667 0.333 0.258
```

Properties
Formation energy from the elements = -679 meV/atom
Volume = 124.76 Å³ per cell
M_tot = 0.897 μB per atom

=====

No. 6
Pm2PuGa4Pd3 | PBE-GGA | optimized geometry

POSCAR file:
```
Pm2PuGa4Pd3
1.0
4.275 0.000 0.000
0.000 4.275 0.000
0.000 0.000 11.602
Pm Pu Ga Pd
2 1 4 3
direct
0.000 0.500 0.226
0.500 0.000 0.774
0.000 0.000 0.500
0.000 0.000 0.000
0.000 0.500 0.672
0.500 0.000 0.328
0.500 0.500 0.000
0.000 0.500 0.882
0.500 0.000 0.118
0.500 0.500 0.500
```

Properties
Formation energy from the elements = -598 meV/atom
Volume = 212.00 Å³ per cell
M_tot = 0.572 μB per atom

=====

No. 7
PmGa2PdRh | PBE-GGA | optimized geometry

POSCAR file:
```
PmGa2PdRh
1.0
-2.104 2.104 5.283
2.104 -2.104 5.283
2.104 2.104 -5.283
Pm Ga Pd Rh
1 2 1 1
direct
0.000 0.000 0.000
0.378 0.378 0.000
0.622 0.622 0.000
0.250 0.750 0.500
0.750 0.250 0.500
```

Properties
Formation energy from the elements = -795 meV/atom
Volume = 93.57 Å³ per cell
M_tot = 0.000 μB per atom

=====

No. 8
Pm2Ga4PdRh3 | PBE-GGA | optimized geometry

POSCAR file:
```
Pm2Ga4PdRh3
1.0
4.270 0.000 0.000
0.000 4.270 0.000
0.000 0.000 10.267
Pm Ga Pd Rh
2 4 1 3
direct
0.000 0.500 0.247
0.500 0.000 0.753
0.000 0.000 0.500
0.000 0.500 0.869
0.500 0.000 0.131
0.500 0.500 0.500
0.500 0.500 0.000
0.000 0.000 0.000
0.000 0.500 0.629
0.500 0.000 0.371
```

Properties
Formation energy from the elements = -802 meV/atom
Volume = 187.24 Å³ per cell
M_tot = 0.000 μB per atom

=====

No. 9
Pm2Ga4Pd3Rh | PBE-GGA | optimized geometry

POSCAR file:
```
Pm2Ga4Pd3Rh
1.0
4.291 0.000 0.000
0.000 4.291 0.000
0.000 0.000 10.329
Pm Ga Pd Rh
2 4 3 1
direct
0.000 0.500 0.249
0.500 0.000 0.751
0.000 0.000 0.500
0.000 0.500 0.872
0.500 0.000 0.128
0.500 0.500 0.500
0.000 0.000 0.000
0.000 0.500 0.632
0.500 0.000 0.368
0.500 0.500 0.000
```

Properties
Formation energy from the elements = -807 meV/atom
Volume = 190.21 Å³ per cell
M_tot = 0.000 μB per atom

=====

No. 10
PmGa3PdRh | PBE-GGA | optimized geometry

POSCAR file:
```
PmGa3PdRh
1.0
3.952 -5.467 0.000
3.952 5.467 0.000
0.000 0.000 5.904
Pm Ga Pd Rh
2 6 2 2
direct
0.242 0.758 0.750
0.758 0.242 0.250
0.247 0.247 0.000
0.247 0.247 0.500
0.249 0.751 0.250
0.751 0.249 0.750
0.753 0.753 0.000
0.753 0.753 0.500
0.468 0.532 0.250
0.532 0.468 0.750
0.034 0.966 0.250
0.966 0.034 0.750
```

Properties
Formation energy from the elements = -480 meV/atom
Volume = 255.07 Å³ per cell
M_tot = 0.000 μB per atom

=====

No. 11
PmGa4Pd2Ru | PBE-GGA | optimized geometry

POSCAR file:
```
PmGa4Pd2Ru
1.0
2.136 1.233 8.864
-2.136 1.233 8.864
0.000 -2.467 8.864
Pm Ga Pd Ru
1 4 2 1
direct
0.000 0.000 0.000
0.134 0.134 0.134
0.401 0.401 0.401
0.599 0.599 0.599
0.866 0.866 0.866
0.236 0.236 0.236
0.764 0.764 0.764
0.500 0.500 0.500
```

Properties
Formation energy from the elements = -594 meV/atom
Volume = 140.16 Å³ per cell
M_tot = 0.000 μB per atom

=====

No. 12
PmSc2GaPd4 | PBE-GGA | optimized geometry

POSCAR file:
```
PmSc2GaPd4
1.0
2.303 1.330 8.262
-2.303 1.330 8.262
0.000 -2.660 8.262
Pm Sc Ga Pd
1 2 1 4
direct
0.000 0.000 0.000
0.239 0.239 0.239
0.761 0.761 0.761
0.500 0.500 0.500
0.129 0.129 0.129
0.396 0.396 0.396
0.604 0.604 0.604
0.871 0.871 0.871
```

Properties
Formation energy from the elements = -800 meV/atom
Volume = 151.82 Å³ per cell
M_tot = 0.000 μB per atom

=====

No. 13
Pm2ScGaPd6 | PBE-GGA | optimized geometry

POSCAR file:
```
Pm2ScGaPd6
1.0
2.845 1.643 8.064
-2.845 1.643 8.064
0.000 -3.286 8.064
Pm Sc Ga Pd
2 1 1 6
direct
0.207 0.207 0.207
0.793 0.793 0.793
0.000 0.000 0.000
0.500 0.500 0.500
0.242 0.746 0.746
0.254 0.254 0.758
0.254 0.758 0.254
0.746 0.242 0.746
0.746 0.746 0.242
0.758 0.254 0.254
```

Properties
Formation energy from the elements = -604 meV/atom
Volume = 226.15 Å³ per cell
M_tot = 0.000 μB per atom

=====

No. 14
PmScGa2Pd5 | PBE-GGA | optimized geometry

POSCAR file:
```
PmScGa2Pd5
1.0
4.167 0.000 0.000
0.000 4.167 0.000
0.000 0.000 9.348
Pm Sc Ga Pd
1 1 2 5
direct
0.000 0.000 0.000
0.000 0.000 0.500
0.500 0.500 0.371
0.500 0.500 0.629
0.000 0.500 0.229
0.000 0.500 0.771
0.500 0.000 0.229
0.500 0.000 0.771
0.500 0.500 0.000
```

Properties
Formation energy from the elements = -711 meV/atom
Volume = 162.32 Å³ per cell
M_tot = 0.000 μB per atom

=====

No. 15
PmScGa2Pd2 | PBE-GGA | optimized geometry

POSCAR file:
```
PmScGa2Pd2
1.0
4.473 0.000 0.000
-2.236 3.874 0.000
0.000 0.000 6.753
Pm Sc Ga Pd
1 1 2 2
direct
0.000 0.000 0.000
0.000 0.000 0.500
0.333 0.667 0.289
0.667 0.333 0.711
0.333 0.667 0.711
0.667 0.333 0.289
```

Properties
Formation energy from the elements = -851 meV/atom
Volume = 117.01 Å³ per cell
M_tot = 0.000 μB per atom

=====

No. 16
Pm2ScGa3Pd4 | PBE-GGA | optimized geometry

POSCAR file:
```
Pm2ScGa3Pd4
1.0
4.173 0.000 0.000
0.000 4.173 0.000
0.000 0.000 11.404
Pm Sc Ga Pd
2 1 3 4
direct
0.000 0.500 0.236
0.500 0.000 0.764
0.000 0.000 0.500
0.000 0.500 0.872
0.500 0.000 0.128
0.500 0.500 0.500
0.000 0.000 0.000
0.000 0.500 0.650
0.500 0.000 0.350
0.500 0.500 0.000
```

Properties
Formation energy from the elements = -815 meV/atom
Volume = 198.56 Å³ per cell
M_tot = 0.000 μB per atom

=====

No. 17
PmGa2SiPd2 | PBE-GGA | optimized geometry

POSCAR file:
```
PmGa2SiPd2
1.0
4.587 0.000 0.000
0.000 4.587 0.000
0.000 0.000 5.579
Pm Ga Si Pd
1 2 1 2
direct
0.000 0.000 0.000
0.500 0.500 0.229
0.500 0.500 0.771
0.000 0.000 0.500
0.000 0.500 0.500
0.500 0.000 0.500
```

Properties
Energy relative to the elements, uncorrected = -0.5136 eV/atom
Volume = 117.36 Å³ per cell
M_tot = 0.000 μB per atom

=====

No. 18
Pm3GaSi2Pd9 | PBE-GGA | optimized geometry

POSCAR file:
```
Pm3GaSi2Pd9
1.0
6.337 0.000 0.000
-3.168 5.488 0.000
0.000 0.000 8.881
Pm Ga Si Pd
3 1 2 9
direct
0.000 0.000 0.000
0.333 0.667 0.689
0.667 0.333 0.311
0.000 0.000 0.500
0.333 0.667 0.175
0.667 0.333 0.825
0.000 0.500 0.000
0.146 0.292 0.285
0.146 0.854 0.285
0.292 0.146 0.715
0.500 0.000 0.000
0.500 0.500 0.000
0.708 0.854 0.285
0.854 0.146 0.715
0.854 0.708 0.715
```

Properties
Energy relative to the elements, uncorrected = -0.6462 eV/atom
Volume = 308.85 Å³ per cell
M_tot = 0.000 μB per atom

=====

No. 19
PmGaSiPd | PBE-GGA | optimized geometry

POSCAR file:
```
PmGaSiPd
1.0
0.000 3.363 3.363
3.363 0.000 3.363
3.363 3.363 0.000
Pm Ga Si Pd
1 1 1 1
direct
0.000 0.000 0.000
0.750 0.750 0.750
0.250 0.250 0.250
0.500 0.500 0.500
```

Properties
Energy relative to the elements, uncorrected = -0.4531 eV/atom
Volume = 76.07 Å³ per cell
M_tot = 0.000 μB per atom

=====

No. 20
Pm2GaSiPd6 | PBE-GGA | optimized geometry

POSCAR file:
```
Pm2GaSiPd6
1.0
5.587 0.000 0.000
0.000 8.726 0.000
0.000 0.000 8.115
Pm Ga Si Pd
4 2 2 12
direct
0.250 0.005 0.233
0.250 0.495 0.233
0.750 0.505 0.767
0.750 0.995 0.767
0.250 0.750 0.771
0.750 0.250 0.229
0.250 0.250 0.742
0.750 0.750 0.258
0.000 0.250 0.977
0.000 0.750 0.023
0.001 0.750 0.504
0.250 0.001 0.613
0.250 0.499 0.613
0.499 0.750 0.504
0.500 0.250 0.977
0.500 0.750 0.023
0.501 0.250 0.496
0.750 0.501 0.387
0.750 0.999 0.387
0.999 0.250 0.496
```

Properties
Energy relative to the elements, uncorrected = -0.7506 eV/atom
Volume = 395.62 Å³ per cell
M_tot = 0.000 μB per atom

=====

No. 21
PmSmGa2Pd5 | PBE-GGA | optimized geometry

POSCAR file:
```
PmSmGa2Pd5
1.0
4.270 0.000 0.000
0.000 4.270 0.000
0.000 0.000 9.272
Pm Sm Ga Pd
1 1 2 5
direct
0.000 0.000 0.000
0.000 0.000 0.500
0.500 0.500 0.364
0.500 0.500 0.636
0.000 0.500 0.224
0.000 0.500 0.776
0.500 0.000 0.224
0.500 0.000 0.776
0.500 0.500 0.000
```

Properties
Formation energy from the elements = -792 meV/atom
Volume = 169.09 Å³ per cell
M_tot = 0.000 μB per atom

=====

No. 22
Pm2Ga4Sn2Pd | PBE-GGA | optimized geometry

POSCAR file:
```
Pm2Ga4Sn2Pd
1.0
-3.228 3.228 4.778
3.228 -3.228 4.778
3.228 3.228 -4.778
Pm Ga Sn Pd
2 4 2 1
direct
0.250 0.750 0.500
0.750 0.250 0.500
0.220 0.220 0.440
0.220 0.780 0.000
0.780 0.220 0.000
0.780 0.780 0.560
0.219 0.219 0.000
0.781 0.781 0.000
0.500 0.500 0.000
```

Properties
Formation energy from the elements = -529 meV/atom
Volume = 199.19 Å³ per cell
M_tot = 0.000 μB per atom

=====

No. 23
Pm2Ga3SnPd4 | PBE-GGA | optimized geometry

POSCAR file:
```
Pm2Ga3SnPd4
1.0
4.321 0.000 0.000
0.000 4.321 0.000
0.000 0.000 10.714
Pm Ga Sn Pd
2 3 1 4
direct
0.000 0.500 0.245
0.500 0.000 0.755
0.000 0.500 0.876
0.500 0.000 0.124
0.500 0.500 0.500
0.000 0.000 0.500
0.000 0.000 0.000
0.000 0.500 0.646
0.500 0.000 0.354
0.500 0.500 0.000
```

Properties
Formation energy from the elements = -788 meV/atom
Volume = 200.07 Å³ per cell
M_tot = 0.000 μB per atom